No. 1
The following is a GGA-PBE calculation of a geometry-optimized AsOsBr2 structure, from Alexandria via LeMat-Bulk.

Cell: 3.0854 4.5354 5.7014 Å, 90.00 90.00 90.00°
Fractional positions:
As 0.0000 0.0000 0.0000
Os 0.5000 0.0000 0.5000
Br 0.0000 0.5000 0.5000
Br 0.5000 0.5000 0.0000

Crystal system ... orthorhombic
Formation energy (no corrections) ... 1.154 eV/atom
Electronic total energy ... -14.61 eV per formula unit
Size of the total moment ... 0.8 μB/f.u.
Excess energy over the best structure of this formula in the dataset ... 1063.7 meV/atom

No. 2
The following is a GGA-PBE calculation of a geometry-optimized TaNiGeB2 structure, from Alexandria via LeMat-Bulk.

Cell: 3.7407 3.7407 4.9862 Å, 90.00 90.00 90.00°
Fractional positions:
Ta 0.0000 0.0000 0.0000
Ni 0.0000 0.0000 0.5000
Ge 0.5000 0.5000 0.0000
B 0.0000 0.5000 0.5000
B 0.5000 0.0000 0.5000

Crystal system ... tetragonal
Electronic total energy ... -32.11 eV per formula unit
Size of the total moment ... 0.0 μB/f.u.
Formation energy from the elements ... 0.6991 eV per atom